Record 1
This record from the Alexandria database describes a geometry-optimized Rb3Cd2Pb3 structure. The functional is PBE-GGA.

Calculated values
* density of states at the Fermi level: 0.6342 states/eV/atom
* ΔH_f (0 K): -0.32 eV per formula unit
* volume: 308 Å³/f.u.
* energy: -2.023 eV/atom
* magnetization: 0.000 Bohr magnetons per cell

The structure in POSCAR format:
```
Rb3Cd2Pb3
1.0
2.958 -5.969 0.000
2.958 5.969 0.000
0.000 0.000 17.422
Rb Cd Pb
6 4 6
direct
0.012 0.988 0.750
0.165 0.835 0.536
0.165 0.835 0.964
0.835 0.165 0.036
0.835 0.165 0.464
0.988 0.012 0.250
0.284 0.716 0.167
0.284 0.716 0.333
0.716 0.284 0.667
0.716 0.284 0.833
0.323 0.677 0.750
0.481 0.519 0.593
0.481 0.519 0.907
0.519 0.481 0.093
0.519 0.481 0.407
0.677 0.323 0.250
```

Record 2
This record from the Alexandria database describes a geometry-optimized ReHO2F structure. The functional is PBE-GGA.

Calculated values
* density of states at the Fermi level: 0.4661 states/eV/atom
* volume: 38 Å³/f.u.
* energy: -5.513 eV/atom
* magnetization: 1.035 Bohr magnetons per cell

The structure in POSCAR format:
```
ReHO2F
1.0
3.858 0.000 0.000
0.000 3.858 0.000
0.000 0.000 2.571
Re H O F
1 1 2 1
direct
0.000 0.000 0.000
0.500 0.500 0.500
0.000 0.500 0.500
0.500 0.000 0.500
0.500 0.500 0.000
```

Record 3
This record from the Alexandria database describes a geometry-optimized BeNi3B structure. The functional is PBE-GGA.

Calculated values
* density of states at the Fermi level: 0.8867 states/eV/atom
* ΔH_f (0 K): -0.17 eV per formula unit
* volume: 52 Å³/f.u.
* energy: -5.583 eV/atom
* energy above the most stable polymorph in this dataset: 167 meV per atom
* magnetization: 0.000 Bohr magnetons per cell

The structure in POSCAR format:
```
BeNi3B
1.0
3.737 0.000 0.000
0.000 3.737 0.000
0.000 0.000 3.737
Be Ni B
1 3 1
direct
0.000 0.000 0.000
0.000 0.500 0.500
0.500 0.000 0.500
0.500 0.500 0.000
0.500 0.500 0.500
```

Record 4
This record from the Alexandria database describes a geometry-optimized Cs3LiPa2Se6 structure. The functional is PBE-GGA.

Calculated values
* density of states at the Fermi level: 1.0013 states/eV/atom
* volume: 404 Å³/f.u.
* energy: -5.042 eV/atom
* magnetization: 2.006 Bohr magnetons per cell
* formation energy (no corrections): -1344 meV/atom

The structure in POSCAR format:
```
Cs3LiPa2Se6
1.0
3.737 -6.486 0.000
3.737 6.486 0.000
-2.465 0.000 8.340
Cs Li Pa Se
3 1 2 6
direct
0.000 0.000 0.000
0.341 0.659 0.000
0.659 0.341 0.000
0.500 0.500 0.500
0.167 0.833 0.500
0.833 0.167 0.500
0.088 0.438 0.313
0.214 0.214 0.682
0.438 0.088 0.313
0.562 0.912 0.687
0.786 0.786 0.318
0.912 0.562 0.687
```

Record 5
This record from the Alexandria database describes a geometry-optimized KYTa2Au structure. The functional is PBE-GGA.

Calculated values
* density of states at the Fermi level: 1.4008 states/eV/atom
* ΔH_f (0 K): 6.23 eV per formula unit
* volume: 147 Å³/f.u.
* energy: -5.663 eV/atom
* magnetization: 0.001 Bohr magnetons per cell

The structure in POSCAR format:
```
KYTa2Au
1.0
5.123 0.000 0.000
0.000 5.123 0.000
0.000 0.000 5.617
K Y Ta Au
1 1 2 1
direct
0.000 0.000 0.000
0.500 0.500 0.000
0.000 0.500 0.500
0.500 0.000 0.500
0.500 0.500 0.500
```

Record 6
This record from the Alexandria database describes a geometry-optimized Ho8Tc2Ag structure. The functional is PBE-GGA.

Calculated values
* density of states at the Fermi level: 1.0149 states/eV/atom
* ΔH_f (0 K): -0.68 eV per formula unit
* volume: 297 Å³/f.u.
* energy: -5.535 eV/atom
* magnetization: 0.000 Bohr magnetons per cell

The structure in POSCAR format:
```
Ho8Tc2Ag
1.0
4.326 -6.379 0.000
4.326 6.379 0.000
-1.528 0.000 5.388
Ho Tc Ag
8 2 1
direct
0.000 0.000 0.000
0.047 0.311 0.608
0.142 0.616 0.197
0.311 0.047 0.608
0.447 0.711 0.785
0.616 0.142 0.197
0.711 0.447 0.785
0.761 0.761 0.395
0.066 0.693 0.698
0.693 0.066 0.698
0.381 0.381 0.176
```

Record 7
This record from the Alexandria database describes a geometry-optimized CdHg2Pb6 structure. The functional is PBE-GGA.

Calculated values
* density of states at the Fermi level: 0.5159 states/eV/atom
* ΔH_f (0 K): 0.49 eV per formula unit
* volume: 269 Å³/f.u.
* energy: -2.586 eV/atom
* magnetization: 0.000 Bohr magnetons per cell

The structure in POSCAR format:
```
CdHg2Pb6
1.0
3.608 0.000 0.000
-1.804 3.125 0.000
0.000 0.000 23.864
Cd Hg Pb
1 2 6
direct
0.000 0.000 0.000
0.333 0.667 0.329
0.333 0.667 0.671
0.000 0.000 0.223
0.000 0.000 0.432
0.000 0.000 0.568
0.000 0.000 0.777
0.333 0.667 0.103
0.333 0.667 0.897
```

Record 8
This record from the Alexandria database describes a geometry-optimized Pu2UZn structure. The functional is PBE-GGA.

Calculated values
* density of states at the Fermi level: 2.8116 states/eV/atom
* ΔH_f (0 K): 0.96 eV per formula unit
* volume: 85 Å³/f.u.
* energy: -10.068 eV/atom
* energy above the most stable polymorph in this dataset: 88 meV per atom
* magnetization: 9.034 Bohr magnetons per cell

The structure in POSCAR format:
```
Pu2UZn
1.0
4.425 0.000 0.000
0.000 4.425 0.000
0.000 0.000 4.343
Pu U Zn
2 1 1
direct
0.000 0.500 0.000
0.500 0.000 0.000
0.000 0.000 0.500
0.500 0.500 0.500
```

Record 9
This record from the Alexandria database describes a geometry-optimized CeSb2Pd5 structure. The functional is PBE-GGA.

Calculated values
* density of states at the Fermi level: 1.2002 states/eV/atom
* volume: 160 Å³/f.u.
* energy: -5.576 eV/atom
* magnetization: 0.859 Bohr magnetons per cell
* formation energy (no corrections): -558 meV/atom

The structure in POSCAR format:
```
CeSb2Pd5
1.0
-2.059 3.588 5.427
2.059 -3.588 5.427
2.059 3.588 -5.427
Ce Sb Pd
1 2 5
direct
0.000 0.000 0.000
0.257 0.757 0.500
0.743 0.243 0.500
0.174 0.372 0.802
0.431 0.628 0.802
0.500 0.000 0.500
0.569 0.372 0.198
0.826 0.628 0.198
```

Record 10
This record from the Alexandria database describes a geometry-optimized Rh5W4 structure. The functional is PBE-GGA.

Calculated values
* density of states at the Fermi level: 0.9542 states/eV/atom
* ΔH_f (0 K): -0.84 eV per formula unit
* volume: 135 Å³/f.u.
* energy: -9.935 eV/atom
* energy above the most stable polymorph in this dataset: 0 meV per atom
* magnetization: 0.000 Bohr magnetons per cell

The structure in POSCAR format:
```
Rh5W4
1.0
-4.202 4.202 1.907
4.202 -4.202 1.907
4.202 4.202 -1.907
Rh W
5 4
direct
0.000 0.000 0.000
0.333 0.333 0.666
0.333 0.667 0.000
0.667 0.333 0.000
0.667 0.667 0.334
0.000 0.328 0.328
0.000 0.672 0.672
0.328 0.000 0.328
0.672 0.000 0.672
```

Record 11
This record from the Alexandria database describes a geometry-optimized ThFe2Os structure. The functional is PBE-GGA.

Calculated values
* density of states at the Fermi level: 1.3089 states/eV/atom
* ΔH_f (0 K): -0.01 eV per formula unit
* volume: 74 Å³/f.u.
* energy: -8.896 eV/atom
* magnetization: 3.454 Bohr magnetons per cell

The structure in POSCAR format:
```
ThFe2Os
1.0
2.116 1.221 4.746
-2.116 1.221 4.746
0.000 -2.443 4.746
Th Fe Os
1 2 1
direct
0.000 0.000 0.000
0.193 0.193 0.193
0.807 0.807 0.807
0.500 0.500 0.500
```

Record 12
This record from the Alexandria database describes a geometry-optimized Ca2AuSe structure. The functional is PBE-GGA.

Calculated values
* density of states at the Fermi level: 0.3495 states/eV/atom
* volume: 97 Å³/f.u.
* energy: -3.928 eV/atom
* magnetization: 0.000 Bohr magnetons per cell
* formation energy (no corrections): -1237 meV/atom

The structure in POSCAR format:
```
Ca2AuSe
1.0
3.655 0.000 0.000
0.000 3.690 0.000
0.000 0.000 7.157
Ca Au Se
2 1 1
direct
0.000 0.000 0.246
0.000 0.000 0.754
0.500 0.500 0.500
0.500 0.500 0.000
```